# 1
Material: CoPCl3
Method: DFT, SCAN
State: PBEsol geometry

Formation energy (no corrections)   87 meV/atom
Raw total energy   -102.40 eV per cell
Symmetry   P6_3/mmc
Magnetic moment   0.42 μB/f.u.
Crystal system   hexagonal

Cell lengths 6.3297, 6.3297, 5.4579 Å; angles 90.00, 90.00, 120.00 degrees
Positions (direct):
Co  0.0000  0.0000  0.0000
Co  0.0000  0.0000  0.5000
P  0.3333  0.6667  0.2500
P  0.6667  0.3333  0.7500
Cl  0.1666  0.3332  0.7500
Cl  0.1666  0.8334  0.7500
Cl  0.3332  0.1666  0.2500
Cl  0.6668  0.8334  0.7500
Cl  0.8334  0.1666  0.2500
Cl  0.8334  0.6668  0.2500

***

# 2
Material: K3CdGa
Method: DFT, SCAN
State: PBEsol geometry

Raw total energy   -69.88 eV per cell
Symmetry   Pm-3m
ΔH_f (0 K)   0.37 eV per atom
Magnetic moment   0.00 μB/f.u.
Crystal system   cubic

Cell lengths 6.4279, 6.4279, 6.4279 Å; angles 90.00, 90.00, 90.00 degrees
Positions (direct):
K  0.0000  0.0000  0.5000
K  0.0000  0.5000  0.0000
K  0.5000  0.0000  0.0000
Cd  0.0000  0.0000  0.0000
Ga  0.5000  0.5000  0.5000

***

# 3
Material: EuMgF4
Method: DFT, SCAN
State: PBEsol geometry

Formation energy (no corrections)   -3863 meV/atom
Raw total energy   -192.04 eV per cell
Symmetry   Cmcm
Magnetic moment   7.00 μB/f.u.
Crystal system   orthorhombic

Cell lengths 7.5955, 7.5955, 5.4984 Å; angles 90.00, 90.00, 149.26 degrees
Positions (direct):
Eu  0.1659  0.8341  0.7500
Eu  0.8341  0.1659  0.2500
Mg  0.4098  0.5902  0.7500
Mg  0.5902  0.4098  0.2500
F  0.1028  0.8972  0.2500
F  0.3113  0.6887  0.5010
F  0.3113  0.6887  0.9990
F  0.5000  0.5000  0.0000
F  0.5000  0.5000  0.5000
F  0.6887  0.3113  0.0010
F  0.6887  0.3113  0.4990
F  0.8972  0.1028  0.7500

***

# 4
Material: GeAsI2O
Method: DFT, SCAN
State: PBEsol geometry

Formation energy (no corrections)   79 meV/atom
Raw total energy   -118.60 eV per cell
Symmetry   P4/mmm
Magnetic moment   0.00 μB/f.u.
Crystal system   tetragonal

Cell lengths 5.7093, 5.7093, 3.7663 Å; angles 90.00, 90.00, 90.00 degrees
Positions (direct):
Ge  0.0000  0.0000  0.0000
As  0.5000  0.5000  0.5000
I  0.0000  0.5000  0.5000
I  0.5000  0.0000  0.5000
O  0.5000  0.5000  0.0000

***

# 5
Material: SrCaTl4
Method: DFT, SCAN
State: PBEsol geometry

Raw total energy   -323.45 eV per cell
Symmetry   F-43m
ΔH_f (0 K)   -0.35 eV per atom
Magnetic moment   0.00 μB/f.u.
Crystal system   cubic

Cell lengths 6.3075, 6.3075, 6.3075 Å; angles 60.00, 60.00, 60.00 degrees
Positions (direct):
Sr  0.0000  0.0000  0.0000
Ca  0.2500  0.2500  0.2500
Tl  0.1256  0.6248  0.6248
Tl  0.6248  0.1256  0.6248
Tl  0.6248  0.6248  0.1256
Tl  0.6248  0.6248  0.6248

***

# 6
Material: KMgTi3
Method: DFT, SCAN
State: PBEsol geometry

Raw total energy   -52.28 eV per cell
Symmetry   Pm-3m
ΔH_f (0 K)   1.82 eV per atom
Magnetic moment   2.61 μB/f.u.
Crystal system   cubic

Cell lengths 4.5412, 4.5412, 4.5412 Å; angles 90.00, 90.00, 90.00 degrees
Positions (direct):
K  0.0000  0.0000  0.0000
Mg  0.5000  0.5000  0.5000
Ti  0.0000  0.0000  0.5000
Ti  0.0000  0.5000  0.0000
Ti  0.5000  0.0000  0.0000

***

# 7
Material: LiTi3O4
Method: DFT, SCAN
State: PBEsol geometry

Formation energy (no corrections)   -2745 meV/atom
Raw total energy   -97.37 eV per cell
Symmetry   Cmmm
Magnetic moment   0.00 μB/f.u.
Crystal system   orthorhombic

Cell lengths 5.0841, 5.0841, 2.9043 Å; angles 90.00, 90.00, 107.59 degrees
Positions (direct):
Li  0.0000  0.0000  0.0000
Ti  0.0000  0.5000  0.5000
Ti  0.5000  0.0000  0.5000
Ti  0.5000  0.5000  0.0000
O  0.2388  0.7612  0.0000
O  0.2429  0.2429  0.5000
O  0.7571  0.7571  0.5000
O  0.7612  0.2388  0.0000

***

# 8
Material: ZrCd2ReOs
Method: DFT, SCAN
State: PBEsol geometry

Raw total energy   -227.85 eV per cell
Symmetry   P4/mmm
ΔH_f (0 K)   1.33 eV per atom
Magnetic moment   0.00 μB/f.u.
Crystal system   tetragonal

Cell lengths 4.9811, 4.9811, 4.6286 Å; angles 90.00, 90.00, 90.00 degrees
Positions (direct):
Zr  0.0000  0.0000  0.0000
Cd  0.0000  0.5000  0.5000
Cd  0.5000  0.0000  0.5000
Re  0.5000  0.5000  0.5000
Os  0.5000  0.5000  0.0000

***

# 9
Material: AgTe2Os
Method: DFT, SCAN
State: PBEsol geometry

Formation energy (no corrections)   1175 meV/atom
Raw total energy   -173.05 eV per cell
Symmetry   F-43m
Magnetic moment   0.00 μB/f.u.
Crystal system   cubic

Cell lengths 4.8278, 4.8278, 4.8278 Å; angles 60.00, 60.00, 60.00 degrees
Positions (direct):
Ag  0.0000  0.0000  0.0000
Te  0.2500  0.2500  0.2500
Te  0.5000  0.5000  0.5000
Os  0.7500  0.7500  0.7500

***

# 10
Material: BaSr2Mg
Method: DFT, SCAN
State: PBEsol geometry

Raw total energy   -88.95 eV per cell
Symmetry   Cm
ΔH_f (0 K)   0.03 eV per atom
Magnetic moment   0.80 μB/f.u.
Crystal system   monoclinic

Cell lengths 7.4909, 7.4909, 6.3690 Å; angles 115.12, 115.12, 34.36 degrees
Positions (direct):
Ba  0.0000  0.0000  0.0000
Sr  0.5594  0.5594  0.5594
Sr  0.7819  0.7819  0.2832
Mg  0.2747  0.2747  0.7765

***

# 11
Material: Zr2TeCl
Method: DFT, SCAN
State: PBEsol geometry

Formation energy (no corrections)   -641 meV/atom
Raw total energy   -109.19 eV per cell
Symmetry   Imm2
Magnetic moment   0.00 μB/f.u.
Crystal system   orthorhombic

Cell lengths 6.0711, 6.0711, 6.0711 Å; angles 147.94, 133.97, 57.20 degrees
Positions (direct):
Zr  0.0000  0.0000  0.0000
Zr  0.7096  0.2096  0.5000
Te  0.4813  0.4813  0.0000
Cl  0.1941  0.6941  0.5000

***

# 12
Material: Na6MnCl8
Method: DFT, SCAN
State: PBEsol geometry

Formation energy (no corrections)   -1952 meV/atom
Raw total energy   -136.65 eV per cell
Symmetry   Fm-3m
Magnetic moment   5.00 μB/f.u.
Crystal system   cubic

Cell lengths 7.8728, 7.8728, 7.8728 Å; angles 60.00, 60.00, 60.00 degrees
Positions (direct):
Na  0.0000  0.0000  0.5000
Na  0.0000  0.5000  0.0000
Na  0.0000  0.5000  0.5000
Na  0.5000  0.0000  0.0000
Na  0.5000  0.0000  0.5000
Na  0.5000  0.5000  0.0000
Mn  0.0000  0.0000  0.0000
Cl  0.2269  0.2269  0.7731
Cl  0.2269  0.7731  0.2269
Cl  0.2269  0.7731  0.7731
Cl  0.2500  0.2500  0.2500
Cl  0.7500  0.7500  0.7500
Cl  0.7731  0.2269  0.2269
Cl  0.7731  0.2269  0.7731
Cl  0.7731  0.7731  0.2269

***

Look up the magnetic moment of the ninth one.
0.00 μB/f.u.